Entry 1:
Computed, not measured: Nd2HgF8 after structural relaxation at the PBE level of DFT. Values from VASP.

space-group type	C2/m, No. 12

The structure in Quantum ESPRESSO input format:
```
&SYSTEM
  ibrav = 0, nat = 11, ntyp = 3
/
ATOMIC_SPECIES
Nd 144.24 Nd.upf
Hg 200.59 Hg.upf
F 19.00 F.upf
ATOMIC_POSITIONS angstrom
Nd 2.308 0.000 0.986
Nd 10.892 0.000 4.369
Hg 6.600 0.000 2.678
F 0.000 0.000 1.661
F 1.702 0.000 4.427
F 3.793 0.000 2.888
F 6.013 0.000 0.283
F 7.187 0.000 5.072
F 9.406 0.000 2.467
F 11.498 0.000 0.928
F 13.199 0.000 3.694
CELL_PARAMETERS angstrom
7.575 -1.908 0.000
7.575 1.908 0.000
-1.951 0.000 5.355
```

=====

Entry 2:
Computed, not measured: RbNdHgF6 after structural relaxation at the PBE level of DFT. Values from VASP.

space-group type	P-31c, No. 163

The structure in Quantum ESPRESSO input format:
```
&SYSTEM
  ibrav = 0, nat = 18, ntyp = 4
/
ATOMIC_SPECIES
Rb 85.47 Rb.upf
Nd 144.24 Nd.upf
Hg 200.59 Hg.upf
F 19.00 F.upf
ATOMIC_POSITIONS angstrom
Rb 0.000 0.000 0.000
Rb 0.000 0.000 5.504
Nd 0.000 3.687 2.752
Nd 3.193 1.843 8.256
Hg 0.000 3.687 8.256
Hg 3.193 1.843 2.752
F -1.165 2.085 1.574
F -1.970 3.479 3.930
F 1.165 2.085 3.930
F -0.805 5.497 1.574
F 2.388 0.034 7.078
F 1.223 2.052 9.434
F 1.970 3.479 1.574
F 0.805 5.497 3.930
F 3.998 0.034 9.434
F 2.028 3.445 7.078
F 5.163 2.052 7.078
F 4.358 3.445 9.434
CELL_PARAMETERS angstrom
6.386 0.000 0.000
-3.193 5.530 0.000
0.000 0.000 11.008
```

=====

Entry 3:
Computed, not measured: NdTlHgF6 after structural relaxation at the PBE level of DFT. Values from VASP.

space-group type	P-31c, No. 163

The structure in Quantum ESPRESSO input format:
```
&SYSTEM
  ibrav = 0, nat = 18, ntyp = 4
/
ATOMIC_SPECIES
Nd 144.24 Nd.upf
Tl 204.38 Tl.upf
Hg 200.59 Hg.upf
F 19.00 F.upf
ATOMIC_POSITIONS angstrom
Nd 0.000 3.695 2.683
Nd 3.200 1.847 8.049
Tl 0.000 0.000 0.000
Tl 0.000 0.000 5.366
Hg 0.000 3.695 8.049
Hg 3.200 1.847 2.683
F -1.164 2.081 1.516
F -1.980 3.494 3.850
F 1.164 2.081 3.850
F -0.816 5.510 1.516
F 2.384 0.032 6.882
F 1.220 2.048 9.217
F 1.980 3.494 1.516
F 0.816 5.510 3.850
F 4.016 0.032 9.217
F 2.036 3.462 6.882
F 5.180 2.048 6.882
F 4.364 3.462 9.217
CELL_PARAMETERS angstrom
6.400 0.000 0.000
-3.200 5.542 0.000
0.000 0.000 10.732
```

=====

| no. | calculated volume (Å³/cell) | E_form (uncorrected) (eV per formula unit) |
| --- | --- | --- |
| 1 | 154.8 | -36.9 |
| 2 | 388.8 | -25.7 |
| 3 | 380.6 | -23.6 |